## Ho2AsRh3 (PBE)

Data for a geometry-optimized Ho2AsRh3 structure.

```
6
Lattice="-2.374 -3.130 3.259 1.265 -4.912 -0.573 3.022 -1.792 3.703" Properties=species:S:1:pos:R:3 pbc="T T T"
Ho 0.711 -3.657 2.376
Ho 1.201 -6.177 4.013
As 0.000 0.000 0.000
Rh 1.511 -0.896 1.851
Rh -1.187 -1.565 1.630
Rh 0.632 -2.456 -0.286
```

energy relative to the elements: -0.912 eV/atom
crystal system: trigonal

## Tl2AgIr (PBE)

Data for a geometry-optimized Tl2AgIr structure.

```
4
Lattice="3.158 0.030 0.000 -0.026 3.158 0.000 0.000 0.000 8.328" Properties=species:S:1:pos:R:3 pbc="T T T"
Tl 0.000 0.000 8.140
Tl 0.000 0.000 4.352
Ir 1.566 1.594 6.246
Ag 1.566 1.594 2.082
```

energy relative to the elements: 0.417 eV/atom
excess energy over the best structure of this formula in the dataset: 98.3 meV per atom
crystal system: tetragonal

## LaAsOs2 (PBE)

Data for a geometry-optimized LaAsOs2 structure.

```
4
Lattice="-2.763 2.642 2.267 -4.039 -1.388 1.232 0.465 -1.495 5.248" Properties=species:S:1:pos:R:3 pbc="T T T"
As -4.753 -0.180 6.560
Os 0.015 -1.162 4.505
Os -2.719 -0.453 5.116
La -1.584 -0.060 2.187
```

energy relative to the elements: 0.078 eV/atom
crystal system: monoclinic

## Na2Ta2FeS6 (PBE)

Data for a geometry-optimized Na2Ta2FeS6 structure.

```
11
Lattice="5.973 -0.113 0.071 -3.050 5.137 0.071 -1.012 -1.740 6.972" Properties=species:S:1:pos:R:3 pbc="T T T"
Na 4.363 0.824 0.071
Na -1.440 4.200 0.071
Ta -0.304 2.375 3.557
Ta 2.215 0.909 3.557
Fe -0.506 -0.870 3.486
S 1.504 2.585 5.166
S -1.559 0.728 4.854
S 0.407 0.700 1.948
S 1.404 -0.996 4.854
S 3.470 2.556 2.260
S 0.507 4.280 2.260
```

crystal system: monoclinic
energy relative to the elements, uncorrected: -0.93 eV/atom

## GaGe2Rh5 (PBE)

Data for a geometry-optimized GaGe2Rh5 structure.

```
16
Lattice="4.128 0.000 0.000 0.000 5.391 0.000 0.000 0.000 10.289" Properties=species:S:1:pos:R:3 pbc="T T T"
Ga 0.000 0.000 5.145
Ga 0.000 2.696 0.000
Ge 2.064 1.985 3.676
Ge 2.064 3.406 6.613
Ge 2.064 0.710 8.821
Ge 2.064 4.681 1.469
Rh 2.064 1.747 1.111
Rh 2.064 3.644 9.178
Rh 2.064 4.443 4.033
Rh 2.064 0.948 6.256
Rh 0.000 4.550 7.451
Rh 0.000 0.841 2.838
Rh 0.000 1.854 7.983
Rh 0.000 3.537 2.307
Rh 0.000 2.696 5.145
Rh 0.000 0.000 0.000
```

energy relative to the elements: -0.479 eV/atom
crystal system: orthorhombic

## TbTmHf (PBE)

Data for a geometry-optimized TbTmHf structure.

```
3
Lattice="-2.457 -1.870 -1.338 2.653 -4.416 1.301 -3.473 2.117 3.419" Properties=species:S:1:pos:R:3 pbc="T T T"
Tb -1.027 -3.485 1.114
Tm -0.411 -0.313 -0.224
Hf -1.840 -0.372 2.490
```

energy relative to the elements: 0.204 eV/atom
excess energy over the best structure of this formula in the dataset: 92.1 meV per atom
crystal system: hexagonal

## CaTc2Pb (PBE)

Data for a geometry-optimized CaTc2Pb structure.

```
4
Lattice="3.148 0.000 0.000 0.000 3.149 -0.014 0.000 3.186 8.441" Properties=species:S:1:pos:R:3 pbc="T T T"
Pb 1.574 4.753 6.687
Ca 0.000 3.167 3.879
Tc 0.000 3.150 0.375
Tc 1.574 1.581 1.684
```

energy relative to the elements: 0.136 eV/atom
crystal system: tetragonal

## EuPuRu2 (PBE)

Data for a geometry-optimized EuPuRu2 structure.

```
4
Lattice="3.381 0.000 0.000 1.690 2.928 0.000 1.690 0.976 8.498" Properties=species:S:1:pos:R:3 pbc="T T T"
Eu 3.381 1.952 4.249
Ru 1.690 0.976 1.787
Ru 5.071 2.928 6.711
Pu 0.000 0.000 0.000
```

energy relative to the elements: 0.214 eV/atom
excess energy over the best structure of this formula in the dataset: 261.0 meV per atom
crystal system: trigonal

## Li3TmAu3 (PBE)

Data for a geometry-optimized Li3TmAu3 structure.

```
14
Lattice="6.688 0.000 0.000 0.000 6.688 0.000 0.000 0.000 6.688" Properties=species:S:1:pos:R:3 pbc="T T T"
Tm 3.344 3.344 3.344
Tm 0.000 0.000 0.000
Au 0.000 1.672 3.344
Au 0.000 5.016 3.344
Au 3.344 0.000 5.016
Au 5.016 3.344 0.000
Au 3.344 0.000 1.672
Au 1.672 3.344 0.000
Li 1.672 0.000 3.344
Li 0.000 3.344 1.672
Li 3.344 5.016 0.000
Li 5.016 0.000 3.344
Li 0.000 3.344 5.016
Li 3.344 1.672 0.000
```

energy relative to the elements: -0.068 eV/atom
crystal system: cubic

## SrSiMo (PBE)

Data for a geometry-optimized SrSiMo structure.

```
3
Lattice="-1.823 -1.067 3.740 -1.991 -0.909 -3.696 2.130 -4.115 -0.135" Properties=species:S:1:pos:R:3 pbc="T T T"
Mo 0.355 -0.686 -0.023
Si -1.580 -1.648 -1.240
Sr -0.459 -3.757 1.171
```

crystal system: hexagonal
energy relative to the elements, uncorrected: 0.27 eV/atom

## Y2TlCd (PBE)

Data for a geometry-optimized Y2TlCd structure.

```
4
Lattice="-3.290 -1.797 -0.550 0.589 -2.038 3.139 -3.526 5.219 4.050" Properties=species:S:1:pos:R:3 pbc="T T T"
Y -5.955 2.147 2.511
Y -0.862 1.275 0.990
Tl -3.114 0.692 3.320
Cd -1.351 -1.918 1.295
```

energy relative to the elements: -0.374 eV/atom
crystal system: tetragonal

## Pr4Si3Rh (PBE)

Data for a geometry-optimized Pr4Si3Rh structure.

```
8
Lattice="-4.412 0.160 -0.279 -0.141 -3.996 -0.065 -0.707 -0.155 11.117" Properties=species:S:1:pos:R:3 pbc="T T T"
Pr -2.528 -1.973 3.787
Pr -0.678 -2.131 9.509
Pr -0.096 -0.021 1.515
Pr -2.661 -0.020 7.019
Si -0.473 -2.086 6.291
Si -0.306 -0.067 4.816
Si -2.867 -0.065 10.243
Rh -2.325 -1.929 0.601
```

crystal system: orthorhombic
energy relative to the elements, uncorrected: -0.71 eV/atom